A plane-wave DFT calculation with PBE was carried out for a relaxed structure of BaAgPt2.

Structure (POSCAR):
```
BaAgPt2
1.0
-2.231 2.239 4.396
2.231 -2.239 4.396
2.231 2.239 -4.396
Ba Ag Pt
1 1 2
Direct
0.000 0.000 0.000
0.500 0.500 0.000
0.250 0.750 0.500
0.750 0.250 0.500
```

Output
* DFT total energy: -4.2676 eV per atom
* N(E_F): 2.042 states/eV/cell

A plane-wave DFT calculation with PBE was carried out for a relaxed structure of ZrAl2Mo.

Structure (POSCAR):
```
ZrAl2Mo
1.0
-2.025 2.025 4.202
2.025 -2.025 4.202
2.025 2.025 -4.202
Zr Al Mo
1 2 1
Direct
0.000 0.000 0.000
0.250 0.750 0.500
0.750 0.250 0.500
0.500 0.500 0.000
```

Output
* DFT total energy: -6.9798 eV per atom
* N(E_F): 2.560 states/eV/cell

A plane-wave DFT calculation with PBE was carried out for a relaxed structure of Th5GaSe5.

Structure (POSCAR):
```
Th5GaSe5
1.0
6.638 -2.968 0.000
6.638 2.968 0.000
-2.649 0.000 8.021
Th Ga Se
5 1 5
Direct
0.000 0.000 0.000
0.334 0.334 0.165
0.337 0.337 0.669
0.663 0.663 0.331
0.666 0.666 0.835
0.500 0.500 0.000
0.161 0.161 0.821
0.162 0.162 0.340
0.500 0.500 0.500
0.838 0.838 0.660
0.839 0.839 0.179
```

Output
* formation energy (no corrections): -136 kJ/mol of atoms
* DFT total energy: -6.6419 eV per atom
* N(E_F): 6.823 states/eV/cell

A plane-wave DFT calculation with PBE was carried out for a relaxed structure of KInSn4.

Structure (POSCAR):
```
KInSn4
1.0
5.364 0.000 0.000
-2.682 4.646 0.000
0.000 0.000 7.419
K In Sn
1 1 4
Direct
0.000 0.000 0.000
0.000 0.000 0.500
0.333 0.667 0.296
0.333 0.667 0.704
0.667 0.333 0.296
0.667 0.333 0.704
```

Output
* DFT total energy: -3.3749 eV per atom
* N(E_F): 4.209 states/eV/cell

A plane-wave DFT calculation with PBE was carried out for a relaxed structure of BaPH2.

Structure (POSCAR):
```
BaPH2
1.0
-2.320 2.320 5.793
2.320 -2.320 5.793
2.320 2.320 -5.793
Ba P H
2 2 4
Direct
0.000 0.000 0.000
0.750 0.250 0.500
0.250 0.750 0.500
0.500 0.500 0.000
0.374 0.125 0.749
0.375 0.626 0.751
0.376 0.625 0.251
0.875 0.624 0.249
```

Output
* DFT total energy: -3.5350 eV per atom
* N(E_F): 5.346 states/eV/cell

A plane-wave DFT calculation with PBE was carried out for a relaxed structure of GdZrPd2.

Structure (POSCAR):
```
GdZrPd2
1.0
3.425 0.000 0.000
0.000 3.425 0.000
0.000 0.000 7.065
Gd Zr Pd
1 1 2
Direct
0.000 0.000 0.000
0.000 0.000 0.500
0.500 0.500 0.285
0.500 0.500 0.715
```

Output
* DFT total energy: -8.9439 eV per atom
* N(E_F): 4.748 states/eV/cell

A plane-wave DFT calculation with PBE was carried out for a relaxed structure of PuPt2O8.

Structure (POSCAR):
```
PuPt2O8
1.0
6.131 -3.629 0.000
6.131 3.629 0.000
-0.531 0.000 3.760
Pu Pt O
1 2 8
Direct
0.000 0.000 0.000
0.375 0.375 0.809
0.625 0.625 0.191
0.098 0.098 0.686
0.150 0.657 0.816
0.343 0.850 0.184
0.356 0.356 0.298
0.644 0.644 0.702
0.657 0.150 0.816
0.850 0.343 0.184
0.902 0.902 0.314
```

Output
* formation energy (no corrections): -76 kJ/mol of atoms
* DFT total energy: -6.7903 eV per atom
* N(E_F): 9.236 states/eV/cell

A plane-wave DFT calculation with PBE was carried out for a relaxed structure of P2C.

Structure (POSCAR):
```
P2C
1.0
2.399 -6.076 0.000
2.399 6.076 0.000
0.000 0.000 2.770
P C
4 2
Direct
0.000 0.000 0.000
0.220 0.780 0.000
0.500 0.500 0.500
0.780 0.220 0.000
0.126 0.874 0.500
0.874 0.126 0.500
```

Output
* DFT total energy: -5.5790 eV per atom
* N(E_F): 2.374 states/eV/cell